1.
Compound: IrPt
Source: Alexandria
Functional: PBEsol
Structure: optimized geometry

Computed properties:
- Volume: 58.0 Å³/cell
- Energy relative to the elements: 0.131 eV per formula unit

a = 4.741 Å, b = 4.741 Å, c = 4.741 Å
α = 131.83°, β = 131.83°, γ = 70.49°
Element x y z (fractional)
Ir 0.375 0.625 0.750
Ir 0.625 0.375 0.250
Pt 0.125 0.875 0.250
Pt 0.875 0.125 0.750



2.
Compound: Ir3Pt
Source: Alexandria
Functional: PBEsol
Structure: optimized geometry

Computed properties:
- Volume: 57.1 Å³/cell
- Energy relative to the elements: 0.134 eV per formula unit

a = 9.011 Å, b = 9.011 Å, c = 9.011 Å
α = 17.41°, β = 17.41°, γ = 17.41°
Element x y z (fractional)
Ir 0.000 0.000 0.000
Ir 0.252 0.252 0.252
Ir 0.748 0.748 0.748
Pt 0.500 0.500 0.500



3.
Compound: Ir2Pt
Source: Alexandria
Functional: PBEsol
Structure: optimized geometry

Computed properties:
- Volume: 43.2 Å³/cell
- Energy relative to the elements: 0.157 eV per formula unit
- Offset from the most stable computed form: 0.0090 eV/atom

a = 6.119 Å, b = 6.119 Å, c = 6.119 Å
α = 154.24°, β = 154.24°, γ = 36.75°
Element x y z (fractional)
Ir 0.172 0.172 0.000
Ir 0.828 0.828 0.000
Pt 0.500 0.500 0.000



4.
Compound: Ir3Pt
Source: Alexandria
Functional: PBEsol
Structure: optimized geometry

Computed properties:
- Volume: 57.1 Å³/cell
- Energy relative to the elements: 0.307 eV per formula unit

a = 4.710 Å, b = 4.710 Å, c = 2.732 Å
α = 90.00°, β = 90.00°, γ = 109.51°
Element x y z (fractional)
Ir 0.000 0.000 0.000
Ir 0.000 0.500 0.500
Ir 0.500 0.000 0.500
Pt 0.500 0.500 0.000